DFT (GGA-PBE) results for BaAlCd2Hg4 after structural relaxation.

The structure in CIF format:
```
data_BaAlCd2Hg4
_chemical_formula_sum 'Ba1 Al1 Cd2 Hg4'
_space_group_name_H-M_alt 'P 1'
_space_group_IT_number 1
_cell_length_a 10.518
_cell_length_b 10.518
_cell_length_c 10.518
_cell_angle_alpha 27.29
_cell_angle_beta 27.29
_cell_angle_gamma 27.29
loop_
_space_group_symop_operation_xyz
'x,y,z'
loop_
_atom_site_label
_atom_site_type_symbol
_atom_site_fract_x
_atom_site_fract_y
_atom_site_fract_z
Ba1 Ba 0.000 0.000 0.000
Al1 Al 0.500 0.500 0.500
Cd1 Cd 0.242 0.242 0.242
Cd2 Cd 0.758 0.758 0.758
Hg1 Hg 0.134 0.134 0.134
Hg2 Hg 0.398 0.398 0.398
Hg3 Hg 0.602 0.602 0.602
Hg4 Hg 0.866 0.866 0.866
```

formation energy from the elements = -0.165 eV per atom
volume = 27.0 A^3/atom
SG = No. 166

=====

DFT (GGA-PBE) results for Ba2Al4Cd3Hg after structural relaxation.

The structure in CIF format:
```
data_Ba2Al4Cd3Hg
_chemical_formula_sum 'Ba2 Al4 Cd3 Hg1'
_space_group_name_H-M_alt 'P 1'
_space_group_IT_number 1
_cell_length_a 4.738
_cell_length_b 4.738
_cell_length_c 11.661
_cell_angle_alpha 90.00
_cell_angle_beta 90.00
_cell_angle_gamma 90.00
loop_
_space_group_symop_operation_xyz
'x,y,z'
loop_
_atom_site_label
_atom_site_type_symbol
_atom_site_fract_x
_atom_site_fract_y
_atom_site_fract_z
Ba1 Ba 0.000 0.500 0.250
Ba2 Ba 0.500 0.000 0.750
Al1 Al 0.000 0.000 0.000
Al2 Al 0.000 0.500 0.629
Al3 Al 0.500 0.000 0.371
Al4 Al 0.500 0.500 0.000
Cd1 Cd 0.000 0.500 0.868
Cd2 Cd 0.500 0.000 0.132
Cd3 Cd 0.500 0.500 0.500
Hg1 Hg 0.000 0.000 0.500
```

formation energy from the elements = -0.215 eV per atom
volume = 26.2 A^3/atom
SG = No. 115